*1*
An optimized crystal structure of Y3TmSe4, computed with GGA-PBE.

## Properties
* volume: 381 Å³/cell

Structure (CIF):
```
data_Y3TmSe4
_cell_length_a 7.0846
_cell_length_b 8.0660
_cell_length_c 7.0652
_cell_angle_alpha 90.00
_cell_angle_beta 109.28
_cell_angle_gamma 90.00
_space_group_name_H-M_alt 'P 1 2/c 1'
_space_group_IT_number 13
loop_
_space_group_symop_operation_xyz
'x,y,z'
'-x,-y,-z'
'-x,y,-z+1/2'
'x,-y,z+1/2'
loop_
_atom_site_label
_atom_site_fract_x
_atom_site_fract_y
_atom_site_fract_z
Y1 0.0000 0.1236 0.2500
Y2 0.0000 0.3738 0.7500
Y3 0.5000 0.1239 0.7500
Tm1 0.5000 0.3740 0.2500
Se1 0.2523 0.1277 0.0026
Se2 0.2548 0.3775 0.4997
```

*2*
An optimized crystal structure of Y3TmSe4, computed with GGA-PBE.

## Properties
* volume: 191 Å³/cell

Structure (CIF):
```
data_Y3TmSe4
_cell_length_a 5.7563
_cell_length_b 5.7563
_cell_length_c 5.7563
_cell_angle_alpha 90.00
_cell_angle_beta 90.00
_cell_angle_gamma 90.00
_space_group_name_H-M_alt 'P m -3 m'
_space_group_IT_number 221
_space_group_name_Hall '-P 4 2 3'
loop_
_atom_site_label
_atom_site_fract_x
_atom_site_fract_y
_atom_site_fract_z
Y1 0.0000 0.0000 0.5000
Tm1 0.5000 0.5000 0.5000
Se1 0.0000 0.0000 0.0000
Se2 0.0000 0.5000 0.5000
```

Energetically preferred structure: *1* | next structure: +1.4 kJ/mol of atoms

*1*
An optimized crystal structure of YTm6Se8, computed with GGA-PBE.

## Properties
* volume: 1455 Å³/cell

Structure (CIF):
```
data_YTm6Se8
_cell_length_a 11.3306
_cell_length_b 11.3306
_cell_length_c 11.3306
_cell_angle_alpha 90.00
_cell_angle_beta 90.00
_cell_angle_gamma 90.00
_space_group_name_H-M_alt 'F m -3 m'
_space_group_IT_number 225
_space_group_name_Hall '-F 4 2 3'
loop_
_atom_site_label
_atom_site_fract_x
_atom_site_fract_y
_atom_site_fract_z
Y1 0.0000 0.0000 0.0000
Tm1 0.0000 0.2500 0.2500
Se1 0.0000 0.0000 0.2565
Se2 0.2500 0.2500 0.2500
```

*2*
An optimized crystal structure of YTm6Se8, computed with GGA-PBE.

## Properties
* volume: 1086 Å³/cell

Structure (CIF):
```
data_YTm6Se8
_cell_length_a 8.5393
_cell_length_b 8.5393
_cell_length_c 17.1891
_cell_angle_alpha 90.00
_cell_angle_beta 90.00
_cell_angle_gamma 120.00
_space_group_name_H-M_alt 'R -3'
_space_group_IT_number 148
_space_group_name_Hall '-R 3'
loop_
_atom_site_label
_atom_site_fract_x
_atom_site_fract_y
_atom_site_fract_z
Y1 0.0000 0.0000 0.0000
Tm1 0.0058 0.3851 0.0801
Se1 0.0000 0.0000 0.3227
Se2 0.0069 0.7255 0.0912
```

Energetically preferred structure: *1* | next structure: +18.0 kJ/mol of atoms

*1*
An optimized crystal structure of TmZrSe2, computed with GGA-PBE.

## Properties
* volume: 261 Å³/cell

Structure (CIF):
```
data_TmZrSe2
_cell_length_a 3.7024
_cell_length_b 3.7024
_cell_length_c 21.9588
_cell_angle_alpha 90.00
_cell_angle_beta 90.00
_cell_angle_gamma 120.00
_space_group_name_H-M_alt 'R 3 m'
_space_group_IT_number 160
_space_group_name_Hall 'R 3 -2"'
loop_
_atom_site_label
_atom_site_fract_x
_atom_site_fract_y
_atom_site_fract_z
Tm1 0.0000 0.0000 0.0000
Zr1 0.0000 0.0000 0.1669
Se1 0.0000 0.0000 0.4190
Se2 0.0000 0.0000 0.5799
```

*2*
An optimized crystal structure of TmZrSe2, computed with GGA-PBE.

## Properties
* volume: 262 Å³/cell

Structure (CIF):
```
data_TmZrSe2
_cell_length_a 3.9490
_cell_length_b 3.9490
_cell_length_c 19.3806
_cell_angle_alpha 90.00
_cell_angle_beta 90.00
_cell_angle_gamma 120.00
_space_group_name_H-M_alt 'R -3 m'
_space_group_IT_number 166
_space_group_name_Hall '-R 3 2"'
loop_
_atom_site_label
_atom_site_fract_x
_atom_site_fract_y
_atom_site_fract_z
Tm1 0.0000 0.0000 0.0000
Zr1 0.0000 0.0000 0.5000
Se1 0.0000 0.0000 0.2488
```

Energetically preferred structure: *1* | next structure: +5.3 kJ/mol of atoms

*1*
An optimized crystal structure of U3Se4, computed with GGA-PBE.

## Properties
* volume: 649 Å³/cell

Structure (CIF):
```
data_U3Se4
_cell_length_a 8.6586
_cell_length_b 8.6586
_cell_length_c 8.6586
_cell_angle_alpha 90.00
_cell_angle_beta 90.00
_cell_angle_gamma 90.00
_space_group_name_H-M_alt 'I -4 3 d'
_space_group_IT_number 220
_space_group_name_Hall 'I -4bd 2c 3'
loop_
_atom_site_label
_atom_site_fract_x
_atom_site_fract_y
_atom_site_fract_z
U1 0.0000 0.2500 0.8750
Se1 0.0767 0.4233 0.5767
```

*2*
An optimized crystal structure of U3Se4, computed with GGA-PBE.

## Properties
* volume: 515 Å³/cell

Structure (CIF):
```
data_U3Se4
_cell_length_a 4.9666
_cell_length_b 4.9666
_cell_length_c 24.0862
_cell_angle_alpha 90.00
_cell_angle_beta 90.00
_cell_angle_gamma 120.00
_space_group_name_H-M_alt 'R -3 m'
_space_group_IT_number 166
_space_group_name_Hall '-R 3 2"'
loop_
_atom_site_label
_atom_site_fract_x
_atom_site_fract_y
_atom_site_fract_z
U1 0.0000 0.0000 0.0000
U2 0.0000 0.0000 0.2421
Se1 0.0000 0.0000 0.1216
Se2 0.0000 0.0000 0.3716
```

Energetically preferred structure: *1* | next structure: +7.0 kJ/mol of atoms

*1*
An optimized crystal structure of Y2U2Se7, computed with GGA-PBE.

## Properties
* volume: 317 Å³/cell

Structure (CIF):
```
data_Y2U2Se7
_cell_length_a 4.8267
_cell_length_b 4.8267
_cell_length_c 13.6277
_cell_angle_alpha 90.00
_cell_angle_beta 90.00
_cell_angle_gamma 90.00
_space_group_name_H-M_alt 'P -4 m 2'
_space_group_IT_number 115
loop_
_space_group_symop_operation_xyz
'x,y,z'
'y,-x,-z'
'-x,-y,z'
'-y,x,-z'
'-x,y,z'
'-y,-x,-z'
'x,-y,z'
'y,x,-z'
loop_
_atom_site_label
_atom_site_fract_x
_atom_site_fract_y
_atom_site_fract_z
Y1 0.0000 0.5000 0.1389
U1 0.0000 0.5000 0.6246
Se1 0.0000 0.0000 0.2381
Se2 0.0000 0.0000 0.5000
Se3 0.5000 0.5000 0.0000
Se4 0.5000 0.5000 0.2582
Se5 0.5000 0.5000 0.5000
```

*2*
An optimized crystal structure of Y2U2Se7, computed with GGA-PBE.

## Properties
* volume: 537 Å³/cell

Structure (CIF):
```
data_Y2U2Se7
_cell_length_a 4.0342
_cell_length_b 14.8803
_cell_length_c 8.9517
_cell_angle_alpha 90.00
_cell_angle_beta 90.00
_cell_angle_gamma 90.00
_space_group_name_H-M_alt 'I m m 2'
_space_group_IT_number 44
loop_
_space_group_symop_operation_xyz
'x,y,z'
'-x,-y,z'
'-x,y,z'
'x,-y,z'
'x+1/2,y+1/2,z+1/2'
'-x+1/2,-y+1/2,z+1/2'
'-x+1/2,y+1/2,z+1/2'
'x+1/2,-y+1/2,z+1/2'
loop_
_atom_site_label
_atom_site_fract_x
_atom_site_fract_y
_atom_site_fract_z
Y1 0.0000 0.2412 0.0000
U1 0.0000 0.0000 0.2382
U2 0.0000 0.5000 0.1902
Se1 0.0000 0.0000 0.9198
Se2 0.0000 0.1078 0.5169
Se3 0.0000 0.3174 0.2998
Se4 0.0000 0.3664 0.6886
```

Energetically preferred structure: *2* | next structure: +10.6 kJ/mol of atoms

*1*
An optimized crystal structure of YU2Se4, computed with GGA-PBE.

## Properties
* volume: 754 Å³/cell

Structure (CIF):
```
data_YU2Se4
_cell_length_a 8.1084
_cell_length_b 8.1572
_cell_length_c 11.3988
_cell_angle_alpha 90.00
_cell_angle_beta 90.00
_cell_angle_gamma 90.00
_space_group_name_H-M_alt 'I m m a'
_space_group_IT_number 74
_space_group_name_Hall '-I 2b 2'
loop_
_atom_site_label
_atom_site_fract_x
_atom_site_fract_y
_atom_site_fract_z
Y1 0.2500 0.2500 0.2500
U1 0.0000 0.0000 0.0000
U2 0.2500 0.2500 0.7500
Se1 0.0000 0.0013 0.2578
Se2 0.2473 0.2500 0.4997
```

*2*
An optimized crystal structure of YU2Se4, computed with GGA-PBE.

## Properties
* volume: 737 Å³/cell

Structure (CIF):
```
data_YU2Se4
_cell_length_a 3.8933
_cell_length_b 13.4544
_cell_length_c 14.0671
_cell_angle_alpha 90.00
_cell_angle_beta 90.00
_cell_angle_gamma 90.00
_space_group_name_H-M_alt 'C m c m'
_space_group_IT_number 63
_space_group_name_Hall '-C 2c 2'
loop_
_atom_site_label
_atom_site_fract_x
_atom_site_fract_y
_atom_site_fract_z
Y1 0.0000 0.1150 0.2500
U1 0.0000 0.3609 0.0658
Se1 0.0000 0.0000 0.0000
Se2 0.0000 0.2844 0.6281
Se3 0.0000 0.4569 0.2500
```

Energetically preferred structure: *1* | next structure: +6.2 kJ/mol of atoms

*1*
An optimized crystal structure of Y2U3Se8, computed with GGA-PBE.

## Properties
* volume: 776 Å³/cell

Structure (CIF):
```
data_Y2U3Se8
_cell_length_a 14.6403
_cell_length_b 8.1213
_cell_length_c 6.8740
_cell_angle_alpha 90.00
_cell_angle_beta 108.26
_cell_angle_gamma 90.00
_space_group_name_H-M_alt 'C 1 2/m 1'
_space_group_IT_number 12
loop_
_space_group_symop_operation_xyz
'x,y,z'
'-x,-y,-z'
'-x,y,-z'
'x,-y,z'
'x+1/2,y+1/2,z'
'-x+1/2,-y+1/2,-z'
'-x+1/2,y+1/2,-z'
'x+1/2,-y+1/2,z'
loop_
_atom_site_label
_atom_site_fract_x
_atom_site_fract_y
_atom_site_fract_z
Y1 0.2449 0.0000 0.1665
U1 0.0000 0.2428 0.5000
U2 0.0000 0.5000 0.0000
Se1 0.1157 0.0000 0.4020
Se2 0.1204 0.5000 0.4196
Se3 0.1251 0.2581 0.9150
```

*2*
An optimized crystal structure of Y2U3Se8, computed with GGA-PBE.

## Properties
* volume: 679 Å³/cell

Structure (CIF):
```
data_Y2U3Se8
_cell_length_a 9.7744
_cell_length_b 14.0086
_cell_length_c 4.9585
_cell_angle_alpha 90.00
_cell_angle_beta 90.00
_cell_angle_gamma 90.00
_space_group_name_H-M_alt 'C m m m'
_space_group_IT_number 65
_space_group_name_Hall '-C 2 2'
loop_
_atom_site_label
_atom_site_fract_x
_atom_site_fract_y
_atom_site_fract_z
Y1 0.0000 0.2325 0.0000
U1 0.0000 0.5000 0.0000
U2 0.2348 0.0000 0.5000
Se1 0.0000 0.1284 0.5000
Se2 0.0000 0.3843 0.5000
Se3 0.2394 0.3769 0.0000
```

Energetically preferred structure: *1* | next structure: +2.6 kJ/mol of atoms

*1*
An optimized crystal structure of YUSe2, computed with GGA-PBE.

## Properties
* volume: 291 Å³/cell

Structure (CIF):
```
data_YUSe2
_cell_length_a 3.8959
_cell_length_b 3.8959
_cell_length_c 22.1294
_cell_angle_alpha 90.00
_cell_angle_beta 90.00
_cell_angle_gamma 120.00
_space_group_name_H-M_alt 'R 3 m'
_space_group_IT_number 160
_space_group_name_Hall 'R 3 -2"'
loop_
_atom_site_label
_atom_site_fract_x
_atom_site_fract_y
_atom_site_fract_z
Y1 0.0000 0.0000 0.0000
U1 0.0000 0.0000 0.8262
Se1 0.0000 0.0000 0.4105
Se2 0.0000 0.0000 0.5821
```

*2*
An optimized crystal structure of YUSe2, computed with GGA-PBE.

## Properties
* volume: 287 Å³/cell

Structure (CIF):
```
data_YUSe2
_cell_length_a 3.9933
_cell_length_b 3.9933
_cell_length_c 20.7818
_cell_angle_alpha 90.00
_cell_angle_beta 90.00
_cell_angle_gamma 120.00
_space_group_name_H-M_alt 'R -3 m'
_space_group_IT_number 166
_space_group_name_Hall '-R 3 2"'
loop_
_atom_site_label
_atom_site_fract_x
_atom_site_fract_y
_atom_site_fract_z
Y1 0.0000 0.0000 0.0000
U1 0.0000 0.0000 0.5000
Se1 0.0000 0.0000 0.2513
```

Energetically preferred structure: *2* | next structure: +4.2 kJ/mol of atoms

*1*
An optimized crystal structure of Y2USe5, computed with GGA-PBE.

## Properties
* volume: 1043 Å³/cell

Structure (CIF):
```
data_Y2USe5
_cell_length_a 5.6267
_cell_length_b 13.5505
_cell_length_c 13.6839
_cell_angle_alpha 90.00
_cell_angle_beta 90.00
_cell_angle_gamma 90.00
_space_group_name_H-M_alt 'C m c m'
_space_group_IT_number 63
_space_group_name_Hall '-C 2c 2'
loop_
_atom_site_label
_atom_site_fract_x
_atom_site_fract_y
_atom_site_fract_z
Y1 0.0000 0.1488 0.0562
U1 0.0000 0.2022 0.7500
Se1 0.0000 0.0468 0.6222
Se2 0.0000 0.2496 0.2500
Se3 0.0000 0.3209 0.5732
```

*2*
An optimized crystal structure of Y2USe5, computed with GGA-PBE.

## Properties
* volume: 819 Å³/cell

Structure (CIF):
```
data_Y2USe5
_cell_length_a 5.6040
_cell_length_b 9.5282
_cell_length_c 15.3448
_cell_angle_alpha 90.00
_cell_angle_beta 90.00
_cell_angle_gamma 90.00
_space_group_name_H-M_alt 'F m m m'
_space_group_IT_number 69
_space_group_name_Hall '-F 2 2'
loop_
_atom_site_label
_atom_site_fract_x
_atom_site_fract_y
_atom_site_fract_z
Y1 0.0000 0.0000 0.1808
U1 0.0000 0.0000 0.5000
Se1 0.0000 0.0000 0.0000
Se2 0.0000 0.1646 0.3454
```

Energetically preferred structure: *1* | next structure: +21.1 kJ/mol of atoms

*1*
An optimized crystal structure of ZrUSe4, computed with GGA-PBE.

## Properties
* volume: 341 Å³/cell

Structure (CIF):
```
data_ZrUSe4
_cell_length_a 7.8937
_cell_length_b 6.3047
_cell_length_c 7.8193
_cell_angle_alpha 90.00
_cell_angle_beta 118.78
_cell_angle_gamma 90.00
_space_group_name_H-M_alt 'P 1 21/c 1'
_space_group_IT_number 14
loop_
_space_group_symop_operation_xyz
'x,y,z'
'-x,-y,-z'
'-x,y+1/2,-z+1/2'
'x,-y+1/2,z+1/2'
loop_
_atom_site_label
_atom_site_fract_x
_atom_site_fract_y
_atom_site_fract_z
Zr1 0.0000 0.0000 0.0000
U1 0.5000 0.0000 0.5000
Se1 0.1590 0.2407 0.3234
Se2 0.3163 0.7404 0.6581
```

*2*
An optimized crystal structure of ZrUSe4, computed with GGA-PBE.

## Properties
* volume: 373 Å³/cell

Structure (CIF):
```
data_ZrUSe4
_cell_length_a 13.9041
_cell_length_b 3.9620
_cell_length_c 6.8501
_cell_angle_alpha 90.00
_cell_angle_beta 98.64
_cell_angle_gamma 90.00
_space_group_name_H-M_alt 'C 1 2/m 1'
_space_group_IT_number 12
loop_
_space_group_symop_operation_xyz
'x,y,z'
'-x,-y,-z'
'-x,y,-z'
'x,-y,z'
'x+1/2,y+1/2,z'
'-x+1/2,-y+1/2,-z'
'-x+1/2,y+1/2,-z'
'x+1/2,-y+1/2,z'
loop_
_atom_site_label
_atom_site_fract_x
_atom_site_fract_y
_atom_site_fract_z
Zr1 0.0000 0.0000 0.0000
U1 0.0000 0.5000 0.5000
Se1 0.1127 0.5000 0.8761
Se2 0.1147 0.0000 0.3566
```

Energetically preferred structure: *2* | next structure: +11.8 kJ/mol of atoms